[1]
! PBE K3YZr, relaxed; values from VASP
&SYSTEM
  ibrav = 0, nat = 5, ntyp = 3
/
ATOMIC_SPECIES
Y 88.91 Y.upf
K 39.10 K.upf
Zr 91.22 Zr.upf
ATOMIC_POSITIONS crystal
Y 0.000 0.000 0.000
K 0.000 0.500 0.000
K 0.000 0.000 0.500
K 0.500 0.000 0.000
Zr 0.500 0.500 0.500
CELL_PARAMETERS angstrom
-3.445 1.463 -5.587
-5.076 -3.869 2.117
-2.754 5.302 3.086
! energy relative to the elements	1684	meV per atom
! D(E_F)	21.68	states/eV/f.u.
! magnetization	6.00	μB/cell
! space group	No. 221
! density	1.62	Mg/m³
! excess energy over the best structure of this formula in the dataset	0.215	eV per atom

***

[2]
! PBE KYZr2, relaxed; values from VASP
&SYSTEM
  ibrav = 0, nat = 4, ntyp = 3
/
ATOMIC_SPECIES
K 39.10 K.upf
Y 88.91 Y.upf
Zr 91.22 Zr.upf
ATOMIC_POSITIONS crystal
K 0.500 0.500 0.250
Y 0.500 0.500 0.750
Zr 0.000 0.000 0.955
Zr 0.000 0.000 0.545
CELL_PARAMETERS angstrom
-2.416 0.833 1.987
-2.073 -0.088 -2.484
-2.127 -11.358 2.177
! energy relative to the elements	504	meV per atom
! D(E_F)	5.51	states/eV/f.u.
! magnetization	0.00	μB/cell
! space group	No. 123
! density	4.18	Mg/m³
! excess energy over the best structure of this formula in the dataset	0.175	eV per atom

***

[3]
! PBE KY2Zr, relaxed; values from VASP
&SYSTEM
  ibrav = 0, nat = 4, ntyp = 3
/
ATOMIC_SPECIES
K 39.10 K.upf
Y 88.91 Y.upf
Zr 91.22 Zr.upf
ATOMIC_POSITIONS crystal
K 0.500 0.811 0.747
Y 0.000 0.156 0.062
Y 0.500 0.047 0.284
Zr 0.000 0.486 0.407
CELL_PARAMETERS angstrom
-3.505 4.241 -0.033
-2.505 -2.064 0.750
0.121 0.164 8.105
! energy relative to the elements	511	meV per atom
! D(E_F)	6.03	states/eV/f.u.
! magnetization	0.00	μB/cell
! space group	No. 6
! density	3.52	Mg/m³
! excess energy over the best structure of this formula in the dataset	0.277	eV per atom

***

[4]
! PBE KYZr2, relaxed; values from VASP
&SYSTEM
  ibrav = 0, nat = 4, ntyp = 3
/
ATOMIC_SPECIES
K 39.10 K.upf
Y 88.91 Y.upf
Zr 91.22 Zr.upf
ATOMIC_POSITIONS crystal
K 0.489 0.489 0.000
Y 0.773 0.273 0.500
Zr 0.019 0.019 0.000
Zr 0.219 0.719 0.500
CELL_PARAMETERS angstrom
6.974 0.001 0.000
3.398 6.090 0.000
-4.147 -4.813 2.874
! energy relative to the elements	683	meV per atom
! D(E_F)	6.27	states/eV/f.u.
! magnetization	0.00	μB/cell
! space group	No. 44
! density	4.22	Mg/m³
! excess energy over the best structure of this formula in the dataset	0.354	eV per atom

***

Number 1: final energy -9.9 eV for the cell shown. Number 2: final energy -22.6 eV for the cell shown. Number 3: final energy -20.5 eV for the cell shown. Number 4: final energy -21.9 eV for the cell shown.